## ErHg2Bi (PBE-GGA)

Data for a relaxed ErHg2Bi crystal.

Cell: 3.4563 3.4563 11.7666 Å, 81.55 81.55 60.00°
Element x y z (fractional)
Er 0.0000 0.0000 0.0000
Hg 0.0862 0.0862 0.7413
Hg 0.9138 0.9138 0.2587
Bi 0.5000 0.5000 0.5000

Computed properties:
- total magnetization (μB per formula unit) = 0.00
- E_tot (eV for the cell shown) = -8.61
- DOS at the Fermi energy (states/eV per atom) = 0.582
- mass density (Mg/m³) = 10.8

---

## Er5Hg2Bi (PBE-GGA)

Data for a relaxed Er5Hg2Bi crystal.

Cell: 8.2287 8.2287 8.7526 Å, 118.04 118.04 90.00°
Element x y z (fractional)
Bi 0.7500 0.7500 0.5000
Bi 0.2500 0.2500 0.5000
Er 0.7016 0.2016 0.7069
Er 0.9947 0.4947 0.2931
Er 0.2984 0.7984 0.2931
Er 0.5000 0.5000 0.0000
Er 0.7984 0.9947 0.2931
Er 0.4947 0.2984 0.2931
Er 0.0000 0.0000 0.0000
Er 0.2016 0.0053 0.7069
Er 0.0053 0.5053 0.7069
Er 0.5053 0.7016 0.7069
Hg 0.3582 0.8582 0.0000
Hg 0.1418 0.3582 0.0000
Hg 0.6418 0.1418 0.0000
Hg 0.8582 0.6418 0.0000

Computed properties:
- total magnetization (μB per formula unit) = 0.00
- E_tot (eV for the cell shown) = -62.26
- DOS at the Fermi energy (states/eV per atom) = 0.427
- mass density (Mg/m³) = 10.9

---

## Er3HgBi (PBE-GGA)

Data for a relaxed Er3HgBi crystal.

Cell: 4.2417 7.3613 9.6268 Å, 90.00 90.00 90.00°
Element x y z (fractional)
Er 0.5000 0.5000 0.0896
Er 0.5000 0.2640 0.6716
Er 0.0000 0.0000 0.9104
Er 0.0000 0.7640 0.3284
Er 0.5000 0.7360 0.6716
Er 0.0000 0.2360 0.3284
Bi 0.5000 0.0000 0.1498
Bi 0.0000 0.5000 0.8502
Hg 0.0000 0.0000 0.5881
Hg 0.5000 0.5000 0.4119

Computed properties:
- total magnetization (μB per formula unit) = 0.00
- E_tot (eV for the cell shown) = -39.64
- DOS at the Fermi energy (states/eV per atom) = 0.870
- mass density (Mg/m³) = 10.1

---

## ErInHgBi (PBE-GGA)

Data for a relaxed ErInHgBi crystal.

Cell: 5.3917 5.3917 5.3917 Å, 60.00 60.00 60.00°
Element x y z (fractional)
Er 0.7500 0.7500 0.7500
In 0.2500 0.2500 0.2500
Bi 0.5000 0.5000 0.5000
Hg 0.0000 0.0000 0.0000

Computed properties:
- total magnetization (μB per formula unit) = 0.00
- E_tot (eV for the cell shown) = -12.37
- DOS at the Fermi energy (states/eV per atom) = 0.613
- mass density (Mg/m³) = 10.4

---

## LaErHgBi (PBE-GGA)

Data for a relaxed LaErHgBi crystal.

Cell: 5.4813 5.4813 5.4813 Å, 60.00 60.00 60.00°
Element x y z (fractional)
La 0.5000 0.5000 0.5000
Er 0.0000 0.0000 0.0000
Bi 0.2500 0.2500 0.2500
Hg 0.7500 0.7500 0.7500

Computed properties:
- total magnetization (μB per formula unit) = 0.00
- E_tot (eV for the cell shown) = -15.85
- DOS at the Fermi energy (states/eV per atom) = 0.971
- mass density (Mg/m³) = 10.2

---

## LiErHgBi (PBE-GGA)

Data for a relaxed LiErHgBi crystal.

Cell: 5.1983 5.1983 5.1983 Å, 60.00 60.00 60.00°
Element x y z (fractional)
Li 0.7500 0.7500 0.7500
Er 0.2500 0.2500 0.2500
Hg 0.5000 0.5000 0.5000
Bi 0.0000 0.0000 0.0000

Computed properties:
- total magnetization (μB per formula unit) = 0.00
- E_tot (eV for the cell shown) = -12.42
- DOS at the Fermi energy (states/eV per atom) = 0.771
- mass density (Mg/m³) = 9.8